Record 1
Here is Ni2HgPb after structural relaxation from Alexandria. Energies are from GGA-PBE.

Summary:
**Formation enthalpy at 0 K**: 48.5 kJ per mole of atoms

abc: 6.6009 6.6009 6.6009
angles: 90.00 90.00 90.00
With the nearest neighbours (Å) after each atom.
Space group F-43m (No. 216)
Symmetry-distinct sites (fractional):
Ni 0.0000 0.0000 0.0000 (multiplicity 4)  4 Ni 2.86, 4 Pb 2.86
Ni 0.2500 0.2500 0.2500 (multiplicity 4)  4 Hg 2.86, 4 Ni 2.86
Hg 0.0000 0.0000 0.5000 (multiplicity 4)  4 Pb 2.86, 4 Ni 2.86
Pb 0.2500 0.2500 0.7500 (multiplicity 4)  4 Hg 2.86, 4 Ni 2.86

=====

Record 2
Here is NiHg2Pb after structural relaxation from Alexandria. Energies are from GGA-PBE.

Summary:
**Formation enthalpy at 0 K**: 19.4 kJ per mole of atoms

abc: 13.1158 3.1204 4.7006
angles: 90.00 110.74 90.00
With the nearest neighbours (Å) after each atom.
Space group C2/m (No. 12)
Symmetry-distinct sites (fractional):
Ni 0.0000 0.0000 0.0000 (multiplicity 2)  4 Hg 2.80, 4 Pb 2.82, 2 Ni 3.12
Hg 0.1893 0.5000 0.1899 (multiplicity 4)  2 Ni 2.80, 2 Hg 3.12
Pb 0.0000 0.5000 0.5000 (multiplicity 2)  4 Ni 2.82, 2 Pb 3.12

=====

Record 3
Here is Ni2HgPb2 after structural relaxation from Alexandria. Energies are from GGA-PBE.

Summary:
**Formation enthalpy at 0 K**: 16.6 kJ per mole of atoms

abc: 3.5284 3.5284 18.4369
angles: 90.00 90.00 90.00
With the nearest neighbours (Å) after each atom.
Space group I4/mmm (No. 139)
Symmetry-distinct sites (fractional):
Ni 0.0000 0.5000 0.2500 (multiplicity 4)  4 Ni 2.49, 4 Pb 2.72
Hg 0.0000 0.0000 0.0000 (multiplicity 2)  4 Hg 3.53, 8 Pb 3.56
Pb 0.0000 0.0000 0.3619 (multiplicity 4)  4 Ni 2.72

=====

Record 4
Here is Ni2HgPb after structural relaxation from Alexandria. Energies are from GGA-PBE.

Summary:
**Formation enthalpy at 0 K**: 33.1 kJ per mole of atoms

abc: 3.3761 3.3761 22.1428
angles: 90.00 90.00 120.00
With the nearest neighbours (Å) after each atom.
Space group R-3m (No. 166, hexagonal axes)
Symmetry-distinct sites (fractional):
Ni 0.0000 0.0000 0.2493 (multiplicity 6)  3 Hg 2.67, 3 Pb 2.69
Hg 0.0000 0.0000 0.5000 (multiplicity 3)  6 Ni 2.67
Pb 0.0000 0.0000 0.0000 (multiplicity 3)  6 Ni 2.69

=====

Record 5
Here is RbNiHg2Pb after structural relaxation from Alexandria. Energies are from GGA-PBE.

Summary:
**Formation enthalpy at 0 K**: -4.3 kJ per mole of atoms

abc: 5.3000 5.3000 5.1166
angles: 90.00 90.00 90.00
With the nearest neighbours (Å) after each atom.
Space group P4/mmm (No. 123)
Symmetry-distinct sites (fractional):
Rb 0.0000 0.0000 0.0000 (multiplicity 1)  8 Hg 3.68, 4 Pb 3.75
Ni 0.5000 0.5000 0.5000 (multiplicity 1)  2 Pb 2.56, 4 Hg 2.65
Hg 0.0000 0.5000 0.5000 (multiplicity 2)  2 Ni 2.65
Pb 0.5000 0.5000 0.0000 (multiplicity 1)  2 Ni 2.56

=====

Record 6
Here is RbNiHgPb2 after structural relaxation from Alexandria. Energies are from GGA-PBE.

Summary:
**Formation enthalpy at 0 K**: 4.6 kJ per mole of atoms

abc: 5.2724 5.2724 5.3500
angles: 90.00 90.00 90.00
With the nearest neighbours (Å) after each atom.
Space group P4/mmm (No. 123)
Symmetry-distinct sites (fractional):
Rb 0.0000 0.0000 0.0000 (multiplicity 1)  4 Hg 3.73, 8 Pb 3.76
Ni 0.5000 0.5000 0.5000 (multiplicity 1)  4 Pb 2.64, 2 Hg 2.68
Hg 0.5000 0.5000 0.0000 (multiplicity 1)  2 Ni 2.68
Pb 0.0000 0.5000 0.5000 (multiplicity 2)  2 Ni 2.64

=====

- What is the formula in the first record?
  Ni2HgPb